The following is a PBE-GGA calculation of Pr3P2Se3 after structural relaxation, from the Alexandria database.

Cell: 8.988 8.988 5.700 Å, 90.00 90.00 120.00°
Fractional positions:
1 Pr 0.000 0.374 0.250
2 Pr 0.000 0.626 0.750
3 Pr 0.374 0.000 0.250
4 Pr 0.374 0.374 0.750
5 Pr 0.626 0.000 0.750
6 Pr 0.626 0.626 0.250
7 P 0.333 0.667 0.000
8 P 0.333 0.667 0.500
9 P 0.667 0.333 0.000
10 P 0.667 0.333 0.500
11 Se 0.000 0.272 0.750
12 Se 0.000 0.728 0.250
13 Se 0.272 0.000 0.750
14 Se 0.272 0.272 0.250
15 Se 0.728 0.000 0.250
16 Se 0.728 0.728 0.750

Properties
For the total magnetization, the calculation gives 0.0 μB/f.u. The theoretical density comes out at 6.0 g/cm³. Its uncorrected formation energy is -1.36 eV per atom.